# 1
VASP calculation (PBE-GGA) on a relaxed structure of Pu6SnRh5.

Geometry as POSCAR:
```
Pu6SnRh5
1.0
-2.620 3.113 7.687
2.620 -3.113 7.687
2.620 3.113 -7.687
Pu Sn Rh
6 1 5
Direct
0.064 0.323 0.741 Pu
0.232 0.000 0.232 Pu
0.418 0.677 0.741 Pu
0.582 0.323 0.259 Pu
0.768 0.000 0.768 Pu
0.936 0.677 0.259 Pu
0.500 0.500 0.000 Sn
0.000 0.500 0.500 Rh
0.165 0.165 0.000 Rh
0.341 0.841 0.500 Rh
0.659 0.159 0.500 Rh
0.835 0.835 0.000 Rh
```

Values from the calculation:
symmetry = Immm
energy relative to the elements = -0.362 eV/atom

---

# 2
VASP calculation (PBE-GGA) on a relaxed structure of PuSn2Rh2.

Geometry as POSCAR:
```
PuSn2Rh2
1.0
4.931 -4.604 0.000
4.931 4.604 0.000
-2.286 0.000 4.878
Pu Sn Rh
2 4 4
Direct
0.145 0.855 0.750 Pu
0.855 0.145 0.250 Pu
0.175 0.378 0.899 Sn
0.378 0.175 0.399 Sn
0.622 0.825 0.601 Sn
0.825 0.622 0.101 Sn
0.214 0.786 0.250 Rh
0.445 0.555 0.750 Rh
0.555 0.445 0.250 Rh
0.786 0.214 0.750 Rh
```

Values from the calculation:
symmetry = C2/c
energy relative to the elements = -0.387 eV/atom

---

# 3
VASP calculation (PBE-GGA) on a relaxed structure of Pu4SnRh4.

Geometry as POSCAR:
```
Pu4SnRh4
1.0
-4.005 4.005 2.530
4.005 -4.005 2.530
4.005 4.005 -2.530
Pu Sn Rh
4 1 4
Direct
0.139 0.161 0.300 Pu
0.161 0.861 0.022 Pu
0.839 0.139 0.978 Pu
0.861 0.839 0.700 Pu
0.500 0.500 0.000 Sn
0.161 0.470 0.631 Rh
0.470 0.839 0.309 Rh
0.530 0.161 0.691 Rh
0.839 0.530 0.369 Rh
```

Values from the calculation:
symmetry = I4/m
energy relative to the elements = -0.112 eV/atom

---

# 4
VASP calculation (PBE-GGA) on a relaxed structure of Pu3SnRh2.

Geometry as POSCAR:
```
Pu3SnRh2
1.0
2.514 -6.877 0.000
2.514 6.877 0.000
0.000 0.000 3.811
Pu Sn Rh
3 1 2
Direct
0.000 0.000 0.000 Pu
0.308 0.692 0.000 Pu
0.692 0.308 0.000 Pu
0.500 0.500 0.500 Sn
0.142 0.858 0.500 Rh
0.858 0.142 0.500 Rh
```

Values from the calculation:
symmetry = Cmmm
energy relative to the elements = -0.363 eV/atom

---

# 5
VASP calculation (PBE-GGA) on a relaxed structure of PuSnRh.

Geometry as POSCAR:
```
PuSnRh
1.0
-1.636 1.636 5.884
1.636 -1.636 5.884
1.636 1.636 -5.884
Pu Sn Rh
1 1 1
Direct
0.000 0.000 0.000 Pu
0.704 0.704 0.000 Sn
0.333 0.333 0.000 Rh
```

Values from the calculation:
symmetry = I4mm
energy relative to the elements = -0.429 eV/atom

---

# 6
VASP calculation (PBE-GGA) on a relaxed structure of PuSnRh3.

Geometry as POSCAR:
```
PuSnRh3
1.0
9.205 0.000 0.000
0.000 8.179 0.000
0.000 0.000 4.897
Pu Sn Rh
4 4 12
Direct
0.060 0.250 0.010 Pu
0.440 0.750 0.510 Pu
0.560 0.250 0.490 Pu
0.940 0.750 0.990 Pu
0.000 0.000 0.500 Sn
0.000 0.500 0.500 Sn
0.500 0.000 0.000 Sn
0.500 0.500 0.000 Sn
0.170 0.750 0.328 Rh
0.220 0.579 0.840 Rh
0.220 0.921 0.840 Rh
0.280 0.079 0.340 Rh
0.280 0.421 0.340 Rh
0.330 0.250 0.828 Rh
0.670 0.750 0.172 Rh
0.720 0.579 0.660 Rh
0.720 0.921 0.660 Rh
0.780 0.079 0.160 Rh
0.780 0.421 0.160 Rh
0.830 0.250 0.672 Rh
```

Values from the calculation:
symmetry = Pnma
energy relative to the elements = -0.388 eV/atom

---

# 7
VASP calculation (PBE-GGA) on a relaxed structure of Pu4SnRh2.

Geometry as POSCAR:
```
Pu4SnRh2
1.0
2.475 1.429 7.057
-2.475 1.429 7.057
0.000 -2.858 7.057
Pu Sn Rh
4 1 2
Direct
0.071 0.071 0.071 Pu
0.236 0.236 0.236 Pu
0.764 0.764 0.764 Pu
0.929 0.929 0.929 Pu
0.500 0.500 0.500 Sn
0.365 0.365 0.365 Rh
0.635 0.635 0.635 Rh
```

Values from the calculation:
symmetry = R-3m
energy relative to the elements = -0.282 eV/atom

---

# 8
VASP calculation (PBE-GGA) on a relaxed structure of PuSn3Rh2.

Geometry as POSCAR:
```
PuSn3Rh2
1.0
8.831 -2.176 0.000
8.831 2.176 0.000
-2.489 0.000 10.209
Pu Sn Rh
3 9 6
Direct
0.000 0.000 0.000 Pu
0.141 0.141 0.675 Pu
0.859 0.859 0.325 Pu
0.051 0.051 0.344 Sn
0.230 0.230 0.368 Sn
0.350 0.350 0.092 Sn
0.360 0.360 0.823 Sn
0.500 0.500 0.500 Sn
0.640 0.640 0.177 Sn
0.650 0.650 0.908 Sn
0.770 0.770 0.632 Sn
0.949 0.949 0.656 Sn
0.201 0.201 0.079 Rh
0.357 0.357 0.563 Rh
0.496 0.496 0.220 Rh
0.504 0.504 0.780 Rh
0.643 0.643 0.437 Rh
0.799 0.799 0.921 Rh
```

Values from the calculation:
symmetry = C2/m
energy relative to the elements = -0.389 eV/atom

---

# 9
VASP calculation (PBE-GGA) on a relaxed structure of Pu3SnRh2.

Geometry as POSCAR:
```
Pu3SnRh2
1.0
2.323 -5.986 0.000
2.323 5.986 0.000
0.000 0.000 4.342
Pu Sn Rh
3 1 2
Direct
0.000 0.000 0.000 Pu
0.180 0.820 0.500 Pu
0.820 0.180 0.500 Pu
0.500 0.500 0.500 Sn
0.339 0.661 0.000 Rh
0.661 0.339 0.000 Rh
```

Values from the calculation:
symmetry = Cmmm
energy relative to the elements = -0.358 eV/atom

---

# 10
VASP calculation (PBE-GGA) on a relaxed structure of PuSnRh.

Geometry as POSCAR:
```
PuSnRh
1.0
4.746 0.000 0.000
-2.373 4.110 0.000
0.000 0.000 3.279
Pu Sn Rh
1 1 1
Direct
0.000 0.000 0.000 Pu
0.667 0.333 0.500 Sn
0.333 0.667 0.500 Rh
```

Values from the calculation:
symmetry = P-6m2
energy relative to the elements = -0.416 eV/atom

---

# 11
VASP calculation (PBE-GGA) on a relaxed structure of Pu2SnRh3.

Geometry as POSCAR:
```
Pu2SnRh3
1.0
7.886 -1.561 0.000
7.886 1.561 0.000
-1.649 0.000 4.919
Pu Sn Rh
2 1 3
Direct
0.156 0.156 0.249 Pu
0.844 0.844 0.751 Pu
0.500 0.500 0.500 Sn
0.323 0.323 0.208 Rh
0.500 0.500 0.000 Rh
0.677 0.677 0.792 Rh
```

Values from the calculation:
symmetry = C2/m
energy relative to the elements = -0.270 eV/atom

---

# 12
VASP calculation (PBE-GGA) on a relaxed structure of Pu2SnRh.

Geometry as POSCAR:
```
Pu2SnRh
1.0
4.358 0.000 0.000
0.000 4.358 0.000
0.000 0.000 4.577
Pu Sn Rh
2 1 1
Direct
0.000 0.500 0.000 Pu
0.500 0.000 0.000 Pu
0.000 0.000 0.500 Sn
0.500 0.500 0.500 Rh
```

Values from the calculation:
symmetry = P4/mmm
energy relative to the elements = -0.356 eV/atom